NbTcGeP2: PBEsol geometry, SCAN.

Properties
- ΔE_f (eV per atom) = 0.6599
- VASP energy (eV per atom) = -20.955

abc: 4.383 4.383 5.106
angles: 90.00 90.00 90.00
Space group P4/mmm (No. 123)
Unique sites:
1 Nb 0.000 0.000 0.000 [1 per cell]
2 Tc 0.000 0.000 0.500 [1 per cell]
3 Ge 0.500 0.500 0.000 [1 per cell]
4 P 0.000 0.500 0.500 [2 per cell]